No. 1
Material: GaIr3C
Method: DFT, PBE-GGA
State: optimized geometry

Lattice parameters (Å, degrees): 4.098 4.098 4.098 90.00 90.00 90.00
Space group Pm-3m (No. 221)
Symmetry-distinct sites (fractional):
Ga  0.000  0.000  0.000 [1 per cell]
Ir  0.000  0.500  0.500 [3 per cell]
C  0.500  0.500  0.500 [1 per cell]

Calculated values
For the energy of formation, the calculation gives 0.343 eV per atom. The excess energy over the best structure of this formula in the dataset comes out at 0 meV per atom.

***

No. 2
Material: Ga3IrC
Method: DFT, PBE-GGA
State: optimized geometry

Lattice parameters (Å, degrees): 4.157 4.157 4.157 90.00 90.00 90.00
Space group Pm-3m (No. 221)
Symmetry-distinct sites (fractional):
Ga  0.000  0.000  0.500 [3 per cell]
Ir  0.500  0.500  0.500 [1 per cell]
C  0.000  0.000  0.000 [1 per cell]

Calculated values
For the energy of formation, the calculation gives 0.718 eV per atom. The excess energy over the best structure of this formula in the dataset comes out at 0 meV per atom.

***

No. 3
Material: GaIr3C
Method: DFT, PBE-GGA
State: optimized geometry

Lattice parameters (Å, degrees): 4.533 4.533 4.533 90.00 90.00 90.00
Space group Pm-3m (No. 221)
Symmetry-distinct sites (fractional):
Ga  0.000  0.000  0.000 [1 per cell]
Ir  0.000  0.000  0.500 [3 per cell]
C  0.500  0.500  0.500 [1 per cell]

Calculated values
For the energy of formation, the calculation gives 2.701 eV per atom. The excess energy over the best structure of this formula in the dataset comes out at 2358 meV per atom.

***

No. 4
Material: KGa2IrC
Method: DFT, PBE-GGA
State: optimized geometry

Lattice parameters (Å, degrees): 4.963 4.963 3.972 90.00 90.00 90.00
Space group P4/mmm (No. 123)
Symmetry-distinct sites (fractional):
K  0.000  0.000  0.000 [1 per cell]
Ga  0.000  0.500  0.500 [2 per cell]
Ir  0.500  0.500  0.000 [1 per cell]
C  0.500  0.500  0.500 [1 per cell]

Calculated values
For the energy of formation, the calculation gives 0.659 eV per atom.

***

No. 5
Material: La2GaIrC
Method: DFT, PBE-GGA
State: optimized geometry

Lattice parameters (Å, degrees): 5.392 5.392 3.890 90.00 90.00 90.00
Space group P4/mmm (No. 123)
Symmetry-distinct sites (fractional):
La  0.000  0.500  0.000 [2 per cell]
Ga  0.000  0.000  0.500 [1 per cell]
Ir  0.500  0.500  0.500 [1 per cell]
C  0.500  0.500  0.000 [1 per cell]

Calculated values
For the energy of formation, the calculation gives -0.477 eV per atom.

***

No. 6
Material: MgGaIr2C
Method: DFT, PBE-GGA
State: optimized geometry

Lattice parameters (Å, degrees): 4.745 4.745 3.715 90.00 90.00 90.00
Space group P4/mmm (No. 123)
Symmetry-distinct sites (fractional):
Mg  0.000  0.000  0.000 [1 per cell]
Ga  0.500  0.500  0.500 [1 per cell]
Ir  0.000  0.500  0.500 [2 per cell]
C  0.500  0.500  0.000 [1 per cell]

Calculated values
For the energy of formation, the calculation gives 1.372 eV per atom.

***

What did the second record say?
Material: Ga3IrC
Method: DFT, PBE-GGA
State: optimized geometry

Lattice parameters (Å, degrees): 4.157 4.157 4.157 90.00 90.00 90.00
Space group Pm-3m (No. 221)
Symmetry-distinct sites (fractional):
Ga  0.000  0.000  0.500 [3 per cell]
Ir  0.500  0.500  0.500 [1 per cell]
C  0.000  0.000  0.000 [1 per cell]

Calculated values
For the energy of formation, the calculation gives 0.718 eV per atom. The excess energy over the best structure of this formula in the dataset comes out at 0 meV per atom.